(1)
## CaLaZr4 (PBE-GGA)

Data for an optimized crystal structure of CaLaZr4.

Results
For the size of the total moment, the calculation gives 1.22 μB per cell. Its crystal system is cubic. Its formation energy is 0.3258 eV/atom. The calculation puts the final energy at -0.2399 Ha/atom. As for the symmetry: F-43m (216).

Cell: 6.2009 6.2009 6.2009 Å, 60.00 60.00 60.00°
With the nearest neighbours (Å) after each atom.
Fractional coordinates of all 6 atoms:
Ca 0.0000 0.0000 0.0000  12 Zr 3.64, 4 La 3.80
La 0.7500 0.7500 0.7500  12 Zr 3.63, 4 Ca 3.80
Zr 0.3774 0.3774 0.3774  6 Zr 3.04-3.16
Zr 0.3774 0.3774 0.8678  6 Zr 3.04-3.16
Zr 0.3774 0.8678 0.3774  6 Zr 3.04-3.16
Zr 0.8678 0.3774 0.3774  6 Zr 3.04-3.16

(2)
## CaLaZr (PBE-GGA)

Data for an optimized crystal structure of CaLaZr.

Results
For the energy relative to the lowest polymorph listed for this composition, the calculation gives 0.0185 eV/atom. For the size of the total moment, the calculation gives 0.00 μB per cell. Its crystal system is tetragonal. Its formation energy is 0.2070 eV/atom. The calculation puts the final energy at -0.1820 Ha/atom. As for the symmetry: I4mm (107).

Cell: 3.4471 3.4471 16.3804 Å, 90.00 90.00 90.00°
With the nearest neighbours (Å) after each atom.
Fractional coordinates of all 6 atoms:
Ca 0.0000 0.0000 0.0000  4 Ca 3.45, 4 Zr 3.58
Ca 0.5000 0.5000 0.5000  4 Ca 3.45, 4 Zr 3.58
La 0.0000 0.0000 0.3023  4 Zr 3.37, 4 La 3.45
La 0.5000 0.5000 0.8023  4 Zr 3.37, 4 La 3.45
Zr 0.0000 0.0000 0.6602  4 La 3.37, 4 Zr 3.45, 4 Ca 3.58
Zr 0.5000 0.5000 0.1602  4 La 3.37, 4 Zr 3.45, 4 Ca 3.58

(3)
## Li6Ca (PBE-GGA)

Data for an optimized crystal structure of Li6Ca.

Results
For the energy relative to the lowest polymorph listed for this composition, the calculation gives 0.2554 eV/atom. For the size of the total moment, the calculation gives 0.00 μB per cell. Its crystal system is cubic. Its formation energy is 0.2801 eV/atom. The calculation puts the final energy at -0.0605 Ha/atom. As for the symmetry: Im-3m (229).

Cell: 7.1304 7.1304 7.1304 Å, 90.00 90.00 90.00°
With the nearest neighbours (Å) after each atom.
Fractional coordinates of all 14 atoms:
Li 0.0000 0.2500 0.5000  4 Li 2.52
Li 0.0000 0.5000 0.2500  4 Li 2.52
Li 0.0000 0.5000 0.7500  4 Li 2.52
Li 0.0000 0.7500 0.5000  4 Li 2.52
Li 0.2500 0.0000 0.5000  4 Li 2.52
Li 0.2500 0.5000 0.0000  4 Li 2.52
Li 0.5000 0.0000 0.2500  4 Li 2.52
Li 0.5000 0.0000 0.7500  4 Li 2.52
Li 0.5000 0.2500 0.0000  4 Li 2.52
Li 0.5000 0.7500 0.0000  4 Li 2.52
Li 0.7500 0.0000 0.5000  4 Li 2.52
Li 0.7500 0.5000 0.0000  4 Li 2.52
Ca 0.0000 0.0000 0.0000  24 Li 3.99
Ca 0.5000 0.5000 0.5000  24 Li 3.99

(4)
## LiCa2 (PBE-GGA)

Data for an optimized crystal structure of LiCa2.

Results
For the energy relative to the lowest polymorph listed for this composition, the calculation gives 0.0040 eV/atom. For the size of the total moment, the calculation gives 0.00 μB per cell. Its crystal system is monoclinic. Its formation energy is 0.0148 eV/atom. The calculation puts the final energy at -0.0719 Ha/atom. As for the symmetry: C2/m (12).

Cell: 5.6131 5.6185 7.2146 Å, 90.00 112.71 90.00°
With the nearest neighbours (Å) after each atom.
Fractional coordinates of all 6 atoms:
Li 0.0000 0.0000 0.0000  8 Ca 3.42-3.43
Li 0.5000 0.5000 0.0000  8 Ca 3.42-3.43
Ca 0.1478 0.5000 0.2957  4 Li 3.42-3.43
Ca 0.3522 0.0000 0.7043  4 Li 3.42-3.43
Ca 0.6478 0.0000 0.2957  4 Li 3.42-3.43
Ca 0.8522 0.5000 0.7043  4 Li 3.42-3.43

(5)
## Li5Ca7 (PBE-GGA)

Data for an optimized crystal structure of Li5Ca7.

Results
For the size of the total moment, the calculation gives 0.00 μB per cell. Its crystal system is monoclinic. Its formation energy is 0.0765 eV/atom. The calculation puts the final energy at -0.0694 Ha/atom. As for the symmetry: C2/m (12).

Cell: 5.6676 5.6676 15.0208 Å, 101.05 101.05 59.85°
With the nearest neighbours (Å) after each atom.
Fractional coordinates of all 12 atoms:
Li 0.0000 0.0000 0.0000  8 Ca 3.14-3.43
Li 0.1463 0.1463 0.4395  8 Ca 3.21-3.57
Li 0.3947 0.3947 0.1881  3 Ca 3.29
Li 0.6053 0.6053 0.8119  3 Ca 3.29
Li 0.8537 0.8537 0.5605  8 Ca 3.21-3.57
Ca 0.0706 0.0706 0.2144  5 Li 3.14-3.30
Ca 0.2197 0.2197 0.6589  4 Li 3.21-3.57
Ca 0.3108 0.3108 0.9317  7 Li 3.41-3.76
Ca 0.5000 0.5000 0.5000  6 Li 3.39
Ca 0.6892 0.6892 0.0683  7 Li 3.41-3.76
Ca 0.7803 0.7803 0.3411  4 Li 3.21-3.57
Ca 0.9294 0.9294 0.7856  5 Li 3.14-3.30

(6)
## Li3Ca2 (PBE-GGA)

Data for an optimized crystal structure of Li3Ca2.

Results
For the energy relative to the lowest polymorph listed for this composition, the calculation gives 0.0157 eV/atom. For the size of the total moment, the calculation gives 0.00 μB per cell. Its crystal system is orthorhombic. Its formation energy is 0.0253 eV/atom. The calculation puts the final energy at -0.0707 Ha/atom. As for the symmetry: Cmce (64).

Cell: 6.3538 6.3538 8.7787 Å, 90.00 90.00 124.19°
With the nearest neighbours (Å) after each atom.
Fractional coordinates of all 10 atoms:
Li 0.0000 0.0000 0.0000  4 Li 2.85
Li 0.1571 0.3429 0.2500  4 Li 2.85-2.97
Li 0.3429 0.1571 0.7500  4 Li 2.85-2.97
Li 0.5000 0.5000 0.5000  4 Li 2.85
Li 0.6571 0.8429 0.2500  4 Li 2.85-2.97
Li 0.8429 0.6571 0.7500  4 Li 2.85-2.97
Ca 0.1619 0.8381 0.4008  8 Li 3.40-3.59
Ca 0.3381 0.6619 0.9008  8 Li 3.40-3.59
Ca 0.6619 0.3381 0.0992  8 Li 3.40-3.59
Ca 0.8381 0.1619 0.5992  8 Li 3.40-3.59

(7)
## LiCa2 (PBE-GGA)

Data for an optimized crystal structure of LiCa2.

Results
For the energy relative to the lowest polymorph listed for this composition, the calculation gives 0.0034 eV/atom. For the size of the total moment, the calculation gives 0.00 μB per cell. Its crystal system is tetragonal. Its formation energy is 0.0142 eV/atom. The calculation puts the final energy at -0.0720 Ha/atom. As for the symmetry: P4/mmm (123).

Cell: 3.9619 3.9619 13.3467 Å, 90.00 90.00 90.00°
With the nearest neighbours (Å) after each atom.
Fractional coordinates of all 6 atoms:
Li 0.0000 0.0000 0.1499  8 Ca 3.42-3.44
Li 0.0000 0.0000 0.8501  8 Ca 3.42-3.44
Ca 0.0000 0.0000 0.5000  12 Ca 3.90-3.96
Ca 0.5000 0.5000 0.0000  8 Li 3.44
Ca 0.5000 0.5000 0.2967  4 Li 3.42
Ca 0.5000 0.5000 0.7033  4 Li 3.42

(8)
## LiCa2 (PBE-GGA)

Data for an optimized crystal structure of LiCa2.

Results
For the energy relative to the lowest polymorph listed for this composition, the calculation gives 0.0820 eV/atom. For the size of the total moment, the calculation gives 0.00 μB per cell. Its crystal system is monoclinic. Its formation energy is 0.0928 eV/atom. The calculation puts the final energy at -0.0691 Ha/atom. As for the symmetry: Pm (6).

Cell: 5.5768 3.7555 5.8586 Å, 90.00 118.05 90.00°
With the nearest neighbours (Å) after each atom.
Fractional coordinates of all 3 atoms:
Li 0.0000 0.0000 0.0000  3 Ca 3.30-3.39
Ca 0.3282 0.0000 0.6554  3 Li 3.30-3.39
Ca 0.6544 0.5000 0.3067  6 Li 3.70-4.05, 8 Ca 3.76-3.86